VASP calculation (GGA-PBE) on Mn8TcOs3 after structural relaxation.

Results
For the total energy, the calculation gives -9.811 eV per atom. The calculation puts the density of states at the Fermi level at 12.75 states/eV/f.u. Its space group is P3m1, No. 156. For the formation energy, the calculation gives -0.027 eV/atom.

```
Mn8TcOs3
1.0
4.666 0.000 0.000
-2.333 4.041 0.000
0.000 0.000 7.593
Mn Tc Os
8 1 3
direct
0.000 0.000 0.000 Mn
0.000 0.000 0.499 Mn
0.174 0.349 0.251 Mn
0.174 0.826 0.251 Mn
0.348 0.174 0.750 Mn
0.651 0.826 0.251 Mn
0.826 0.174 0.750 Mn
0.826 0.652 0.750 Mn
0.667 0.333 0.068 Tc
0.333 0.667 0.569 Os
0.333 0.667 0.931 Os
0.667 0.333 0.431 Os
```